# 1
The following is a DFT calculation (GGA-PBEsol) of a relaxed LaTlAg2 crystal.

The total energy is -62.1 eV/cell. The value obtained for the energy of formation is -0.23 eV/atom.

The space group is F-43m (No. 216) and the conventional cell measures 7.157, 7.157 and 7.157 Å, with angles of 90.00, 90.00 and 90.00 degrees. The asymmetric unit holds La at (0.000, 0.000, 0.000), Tl at (0.250, 0.250, 0.750), Ag at (0.000, 0.000, 0.500) and Ag at (0.250, 0.250, 0.250).

---

# 2
The following is a DFT calculation (GGA-PBEsol) of a relaxed LaTlAg2 crystal.

The total energy is -15.1 eV/cell. The value obtained for the energy of formation is -0.12 eV/atom.

The space group is Pmmm (No. 47) and the conventional cell measures 3.374, 4.836 and 5.923 Å, with angles of 90.00, 90.00 and 90.00 degrees. The asymmetric unit holds La at (0.000, 0.000, 0.000), Tl at (0.500, 0.000, 0.500) and Ag at (0.500, 0.500, 0.241).

---

# 3
The following is a DFT calculation (GGA-PBEsol) of a relaxed LaTlAg2 crystal.

The total energy is -62.9 eV/cell. The value obtained for the energy of formation is -0.28 eV/atom.

The space group is Fm-3m (No. 225) and the conventional cell measures 7.132, 7.132 and 7.132 Å, with angles of 90.00, 90.00 and 90.00 degrees. The asymmetric unit holds La at (0.000, 0.000, 0.000), Tl at (0.000, 0.000, 0.500) and Ag at (0.250, 0.250, 0.250).